This record from Alexandria describes an optimized crystal structure of Cs3Th2NpTe6. The functional is PBE.

The structure in extended XYZ format:
```
12
Lattice="-5.506 -3.963 4.110 3.040 -3.147 -6.616 7.334 -1.610 5.721" Properties=species:S:1:pos:R:3 pbc="T T T"
Cs 5.285 -4.088 -1.972
Cs -0.418 -4.633 5.187
Cs 2.434 -4.360 1.607
Th 0.192 -3.419 -3.041
Th -2.658 -3.691 0.535
Np 0.000 0.000 0.000
Te 2.566 -6.882 4.467
Te -0.358 -5.513 -0.705
Te 2.301 -1.839 -1.252
Te 5.428 -6.609 0.876
Te 5.226 -3.207 3.919
Te -0.560 -2.112 2.339
```

Computed properties:
- SG: No. 12
- Raw formation energy: -13.0 eV per formula unit